Record 1
Below is a relaxed structure of Cu3BSb, with properties calculated at the PBE level.

Computed properties:
ΔE to the lowest computed polymorph ... 1.1711 eV per atom
Space group ... No. 221
Mass density ... 4.8 g/cm3
Size of the total moment ... 0.000 μB per formula unit

Cell: 4.827 4.827 4.827 Å, 90.00 90.00 90.00°
Positions (direct):
Cu: 0.000 0.000 0.500
Cu: 0.000 0.500 0.000
Cu: 0.500 0.000 0.000
B: 0.500 0.500 0.500
Sb: 0.000 0.000 0.000

---

Record 2
Below is a relaxed structure of Cu2BSb, with properties calculated at the PBE level.

Computed properties:
ΔE to the lowest computed polymorph ... 0.3895 eV per atom
Space group ... No. 225
Mass density ... 7.3 g/cm3
Size of the total moment ... 0.000 μB per formula unit

Cell: 4.375 4.375 4.375 Å, 60.00 60.00 60.00°
Positions (direct):
Cu: 0.250 0.250 0.250
Cu: 0.750 0.750 0.750
B: 0.000 0.000 0.000
Sb: 0.500 0.500 0.500

---

Record 3
Below is a relaxed structure of Cu3BSb, with properties calculated at the PBE level.

Computed properties:
ΔE to the lowest computed polymorph ... 0.0000 eV per atom
Space group ... No. 221
Mass density ... 7.7 g/cm3
Size of the total moment ... 0.000 μB per formula unit

Cell: 4.124 4.124 4.124 Å, 90.00 90.00 90.00°
Positions (direct):
Cu: 0.000 0.000 0.500
Cu: 0.000 0.500 0.000
Cu: 0.500 0.000 0.000
B: 0.000 0.000 0.000
Sb: 0.500 0.500 0.500

---

Record 4
Below is a relaxed structure of CuBSb2Te, with properties calculated at the PBE level.

Computed properties:
ΔE to the lowest computed polymorph ... 0.3782 eV per atom
Space group ... No. 123
Mass density ... 5.6 g/cm3
Size of the total moment ... 0.000 μB per formula unit

Cell: 5.032 5.032 5.217 Å, 90.00 90.00 90.00°
Positions (direct):
Cu: 0.000 0.000 0.000
B: 0.500 0.500 0.500
Sb: 0.000 0.500 0.000
Sb: 0.500 0.000 0.000
Te: 0.000 0.000 0.500

---

Look up the ΔE to the lowest computed polymorph of the fourth one.
0.3782 eV per atom